This record from the Alexandria database describes an optimized crystal structure of Ta2FeMo. The functional is PBE.

Total energy   -10.525 eV per atom
Energy relative to the elements   0.2245 eV per atom
Mass density   13.04 g cm⁻³
Distance to the lowest polymorph of the same formula   0.401 eV/atom
Space group   R-3m (166)

Lattice parameters (Å, degrees): 8.2947 8.2947 8.2947 21.21 21.21 21.21
Last column: nearest neighbours and their distance in Å.
Fractional coordinates of all 4 atoms:
Ta 0.9970 0.9970 0.9970  3 Fe 2.63, 3 Mo 2.74
Ta 0.5030 0.5030 0.5030  3 Fe 2.63, 3 Mo 2.74
Mo 0.7500 0.7500 0.7500  6 Ta 2.74, 6 Mo 3.05
Fe 0.2500 0.2500 0.2500  6 Ta 2.63